P:
## La2YF (PBE)

Data for a relaxed structure of La2YF.

Cell lengths 7.842, 7.842, 6.900 Å; angles 55.37, 55.37, 90.00 degrees
Atoms (fractional coordinates):
Y (0.000, 0.000, 0.000)
Y (0.750, 0.250, 0.500)
F (0.500, 0.500, 0.000)
F (0.250, 0.750, 0.500)
La (0.507, 0.125, 0.250)
La (0.243, 0.625, 0.250)
La (0.375, 0.493, 0.750)
La (0.875, 0.757, 0.750)

Output
As for the density of states at the Fermi level: 8.14 states/eV/cell. The total magnetization is 0.00 μB/f.u. Its space group is I-42d.

Q:
## La2YF (PBE)

Data for a relaxed structure of La2YF.

Cell lengths 5.514, 5.514, 5.514 Å; angles 60.00, 60.00, 60.00 degrees
Atoms (fractional coordinates):
Y (0.500, 0.500, 0.500)
F (0.000, 0.000, 0.000)
La (0.250, 0.250, 0.250)
La (0.750, 0.750, 0.750)

Output
As for the density of states at the Fermi level: 4.47 states/eV/cell. The total magnetization is 0.00 μB/f.u. Its space group is Fm-3m.

R:
## La2YF (PBE)

Data for a relaxed structure of La2YF.

Cell lengths 3.894, 3.894, 9.099 Å; angles 77.64, 77.64, 60.00 degrees
Atoms (fractional coordinates):
Y (0.500, 0.500, 0.500)
F (0.000, 0.000, 0.000)
La (0.722, 0.722, 0.834)
La (0.278, 0.278, 0.166)

Output
As for the density of states at the Fermi level: 5.27 states/eV/cell. The total magnetization is 0.00 μB/f.u. Its space group is R-3m.

Least stable of them? Q.